[1]
DFT (PBE-GGA) results for a relaxed SrBeAu2 crystal.

Cell and atoms, written as POSCAR:
```
SrBeAu2
1.0
-1.946 2.871 3.984
1.946 -2.871 3.984
1.946 2.871 -3.984
Sr Be Au
1 1 2
Direct
0.000 0.000 0.000 Sr
0.500 0.500 0.000 Be
0.322 0.822 0.500 Au
0.678 0.178 0.500 Au
```

## Properties
Formation energy: -0.260 eV per atom



[2]
DFT (PBE-GGA) results for a relaxed Cu2TcAs crystal.

Cell and atoms, written as POSCAR:
```
Cu2TcAs
1.0
2.593 0.000 0.000
0.000 4.498 0.000
-0.002 0.000 4.809
Cu Tc As
2 1 1
Direct
0.000 0.000 0.000 Cu
0.001 0.500 0.737 Cu
0.500 0.000 0.510 Tc
0.497 0.500 0.251 As
```

## Properties
Formation energy: 0.202 eV per atom